# 1
Computed, not measured: an optimized crystal structure of Mg2In at the PBEsol level of DFT.

```
6
Lattice="-2.525 1.841 0.953 -3.273 -4.071 -0.810 2.365 -3.305 7.051" Properties=species:S:1:pos:R:3 pbc="T T T"
Mg -1.960 -0.359 1.102
Mg -2.206 -3.591 1.090
In -3.100 -3.469 4.090
Mg -1.227 -1.944 6.104
Mg -1.474 -5.175 6.092
In -0.334 -2.065 3.104
```

Summary:
Energy relative to the elements: -0.157 eV/f.u.

# 2
Computed, not measured: an optimized crystal structure of HgTeO3 at the PBEsol level of DFT.

```
5
Lattice="-0.388 0.880 -3.989 -3.987 -0.951 0.178 -0.887 3.893 0.945" Properties=species:S:1:pos:R:3 pbc="T T T"
O -0.194 0.440 -1.994
Te 0.000 0.000 0.000
Hg -2.631 1.911 -1.433
O -0.443 1.946 0.472
O -1.994 -0.476 0.089
```

Summary:
Formation energy from raw total energies: -484.1 meV/atom

# 3
Computed, not measured: an optimized crystal structure of Y3ClO at the PBEsol level of DFT.

```
5
Lattice="-2.110 -3.233 2.726 3.119 -3.246 -1.436 2.855 1.158 3.583" Properties=species:S:1:pos:R:3 pbc="T T T"
Y 1.427 0.579 1.792
O 0.000 0.000 0.000
Y 1.560 -1.623 -0.718
Cl 1.932 -2.660 2.436
Y -1.055 -1.616 1.363
```

Summary:
Formation energy from raw total energies: -1084.6 meV/atom

# 4
Computed, not measured: an optimized crystal structure of CuReTe at the PBEsol level of DFT.

```
3
Lattice="2.913 -0.027 0.000 -1.248 2.632 0.000 -0.832 -1.302 6.755" Properties=species:S:1:pos:R:3 pbc="T T T"
Cu 0.832 1.302 6.588
Te 0.832 1.302 2.298
Re 0.000 0.000 4.624
```

Summary:
Formation energy from raw total energies: 949.4 meV/atom

# 5
Computed, not measured: an optimized crystal structure of Zn2Mo at the PBEsol level of DFT.

```
6
Lattice="-3.704 2.910 1.169 -2.024 -0.297 4.402 0.647 3.578 3.215" Properties=species:S:1:pos:R:3 pbc="T T T"
Zn -3.176 3.870 5.491
Zn -1.324 2.415 4.906
Mo -1.270 1.548 2.196
Zn -3.499 2.081 3.884
Mo 0.000 0.000 0.000
Zn -2.164 4.018 3.290
```

Summary:
Energy relative to the elements: 0.027 eV/f.u.

# 6
Computed, not measured: an optimized crystal structure of MnTcRu2 at the PBEsol level of DFT.

```
4
Lattice="-2.280 0.772 1.104 1.608 -3.429 2.544 2.147 3.498 1.989" Properties=species:S:1:pos:R:3 pbc="T T T"
Tc 1.536 -1.291 4.076
Mn -0.375 -0.267 2.590
Ru 0.010 0.013 0.012
Ru 1.845 1.092 3.048
```

Summary:
Energy relative to the elements: 0.464 eV/f.u.

# 7
Computed, not measured: an optimized crystal structure of Li2Mn3F8 at the PBEsol level of DFT.

```
13
Lattice="-3.912 -2.379 2.651 -3.904 -3.011 -3.025 2.337 -5.299 -1.232" Properties=species:S:1:pos:R:3 pbc="T T T"
Mn -1.462 -5.590 -1.823
Mn 0.000 0.000 0.000
F 0.443 -6.236 -1.270
F -2.049 -5.952 0.240
Li -3.954 -8.001 -2.285
F -4.674 -6.928 -0.844
Mn -4.018 -5.099 0.216
F -2.216 -7.319 -2.570
F -3.264 -3.370 0.964
Li -1.526 -2.688 0.679
F -3.431 -4.737 -1.846
F -5.923 -4.453 -0.336
F -0.806 -3.761 -0.763
```

Summary:
Formation energy from raw total energies: -2448.8 meV/atom

# 8
Computed, not measured: an optimized crystal structure of Pr2CuO4 at the PBEsol level of DFT.

```
7
Lattice="-0.198 -0.574 3.674 -3.372 -1.523 -0.419 4.508 -4.771 -2.391" Properties=species:S:1:pos:R:3 pbc="T T T"
Pr 1.974 -4.219 -0.553
O -0.059 -4.737 1.143
O 0.997 -2.131 -0.280
Pr -1.036 -2.649 1.417
Cu 0.000 0.000 0.000
O -1.686 -0.761 -0.210
O -0.099 -0.287 1.837
```

Summary:
Formation energy from raw total energies: -2522.6 meV/atom

# 9
Computed, not measured: an optimized crystal structure of La2ZrCr at the PBEsol level of DFT.

```
4
Lattice="-0.240 0.563 -3.511 -2.882 -2.092 -0.139 -4.752 6.454 1.360" Properties=species:S:1:pos:R:3 pbc="T T T"
La -1.300 1.766 0.372
Cr -3.937 2.462 -1.145
La -3.452 4.688 0.988
Zr -1.561 -0.765 -1.825
```

Summary:
Energy relative to the elements: 1.865 eV/f.u.

# 10
Computed, not measured: an optimized crystal structure of TlIn2Re at the PBEsol level of DFT.

```
4
Lattice="-1.209 -1.855 -3.641 4.081 -0.751 -0.973 -1.656 -2.507 4.322" Properties=species:S:1:pos:R:3 pbc="T T T"
In 1.930 -2.280 0.521
Tl 0.000 0.000 0.000
In -0.715 -2.833 -0.814
Re 1.436 -1.303 -2.307
```

Summary:
Energy relative to the elements: 2.745 eV/f.u.

# 11
Computed, not measured: an optimized crystal structure of Y3BiC at the PBEsol level of DFT.

```
5
Lattice="4.863 0.000 0.000 0.000 4.863 0.000 0.000 0.000 4.863" Properties=species:S:1:pos:R:3 pbc="T T T"
Y 2.432 0.000 0.000
Y 0.000 0.000 2.432
Y 0.000 2.432 0.000
Bi 2.432 2.432 2.432
C 0.000 0.000 0.000
```

Summary:
Energy relative to the elements: -3.181 eV/f.u.

# 12
Computed, not measured: an optimized crystal structure of KNaAl6Si6H4O24 at the PBEsol level of DFT.

```
84
Lattice="-0.297 -5.110 -0.677 1.456 1.077 -8.763 19.597 -0.223 3.229" Properties=species:S:1:pos:R:3 pbc="T T T"
O 4.596 -2.105 -4.532
Si 8.219 -1.921 -2.816
O 2.727 -2.874 -6.298
O 11.673 -3.590 -1.217
Al 6.272 -0.251 -7.350
O 18.612 -0.951 -3.422
H 4.680 -2.212 -7.326
O 15.443 -5.109 1.411
O 12.551 -0.740 -5.340
Al 15.207 -3.484 -3.248
O 13.978 -2.524 -2.096
H 6.546 -1.728 -0.437
Si 17.953 -2.078 -2.476
O 18.016 -1.327 1.630
Si 12.830 -2.332 -5.082
O 9.550 -0.214 -6.416
O 17.750 -3.830 0.708
O 9.086 -2.864 -6.177
O 15.897 -4.659 -1.909
K 0.587 0.434 -3.530
O 11.285 -0.790 0.977
Si 2.429 -0.133 -0.245
Al 18.051 -4.353 -4.289
Si 8.678 -1.368 -5.653
O 19.029 -3.859 -5.661
O 13.907 -0.627 -0.062
Si 8.799 -3.789 -7.512
O 16.309 -2.040 -2.578
Al 4.955 -3.686 -0.414
O 4.025 -0.100 0.129
O 16.803 -1.572 -6.021
O 13.494 -3.001 1.345
O 18.606 -3.501 -2.876
O 15.883 -1.992 0.115
H 14.342 -0.274 -3.663
O 16.389 -3.935 -4.616
O 14.846 0.534 -6.094
O 5.096 0.219 -5.982
Al 14.595 -1.462 1.461
O 6.631 -1.840 -3.233
Si 17.072 -5.051 1.584
O 14.403 -2.587 -4.791
Si 12.338 -2.481 -2.200
H 17.116 -1.275 -5.144
Al 15.693 -3.111 -6.136
O 4.671 0.264 -3.170
O 11.932 -2.790 -3.782
Al 12.247 -0.202 -0.378
O 2.932 0.494 -7.801
O 8.270 -4.354 0.038
O 8.493 -1.103 -1.440
Al 5.797 -0.588 -4.456
O 2.459 -0.526 -5.194
Al 5.423 -3.355 -3.316
O 9.095 -1.265 -4.066
Na 9.847 -2.521 0.091
O 5.974 -2.207 0.193
Si 3.005 -2.028 -4.954
O 8.760 -3.439 -2.609
K 1.150 -1.594 -8.154
O 5.244 -1.729 -7.961
H 4.382 -0.312 -2.436
O 12.292 -3.239 -6.332
O 7.085 -1.127 -5.828
O 6.125 -4.165 -1.790
O 2.114 -1.086 -1.553
Al 3.402 0.613 -6.113
O 11.700 -1.035 -1.825
Al 7.814 -4.567 -1.651
Si 17.455 -2.250 0.402
O 18.366 -1.833 -0.890
Na 10.626 0.500 -3.366
O 6.550 -4.211 -4.593
O 1.666 -3.722 -1.381
Si 2.553 -2.558 -2.113
O 7.203 -3.834 -7.901
H 15.914 -4.284 -1.007
H 13.172 -3.295 0.471
Al 15.089 -1.080 -1.430
Si 13.213 0.462 -6.256
O 14.395 0.096 -2.761
O 2.118 -2.623 -3.686
O 4.143 -2.804 -1.936
H 6.874 -3.641 -5.318
```

Summary:
Final energy: -7.4067 eV/atom

Sequential volume output: 137.7; 69.1; 105.5; 51.6; 80.8; 51.9; 150.0; 89.7; 103.3; 78.4; 115.0; 915.6 Å³/cell